# Mn5Cd3O12, optimized geometry, DFT GGA+U
# E: -6.17 eV/atom
data_Mn5Cd3O12
_chemical_formula_sum 'Mn40 Cd24 O96'
_space_group_name_H-M_alt 'I a -3 d'
_space_group_IT_number 230
_space_group_name_Hall '-I 4bd 2c 3'
_cell_length_a 12.574
_cell_length_b 12.574
_cell_length_c 12.574
_cell_angle_alpha 90.00
_cell_angle_beta 90.00
_cell_angle_gamma 90.00
loop_
_atom_site_label
_atom_site_fract_x
_atom_site_fract_y
_atom_site_fract_z
_atom_site_occupancy
Mn1 0.000 0.000 0.000 1
Mn2 0.000 0.250 0.375 1
Cd1 0.000 0.250 0.125 1
O1 0.025 0.044 0.650 1